DFT (PBE-GGA) results for a relaxed CuTePtAu crystal.

Properties
The calculation puts the relative energy among the computed polymorphs at 0.00 eV/f.u. As for the space group: No. 216.

Cell lengths 4.6602, 4.6602, 4.6602 Å; angles 60.00, 60.00, 60.00 degrees
Closest atoms and distances in Å follow each position.
Sites, in units of the cell vectors:
1 Te 0.0000 0.0000 0.0000  4 Cu 2.85, 4 Pt 2.85
2 Au 0.5000 0.5000 0.5000  4 Cu 2.85, 4 Pt 2.85
3 Pt 0.2500 0.2500 0.2500  4 Te 2.85, 4 Au 2.85
4 Cu 0.7500 0.7500 0.7500  4 Au 2.85, 4 Te 2.85